First-principles (PBE with a Hubbard U) data for a geometry-optimized Rb3NaW2O8 structure, as listed in Alexandria via LeMat-Bulk. Values from VASP.

Results
- Total DFT energy (no corrections): -0.45531 Ry per atom
- Spin magnetization: 0.0 μB per formula unit

The structure in Quantum ESPRESSO input format:
```
&SYSTEM
  ibrav = 0, nat = 14, ntyp = 4
/
ATOMIC_SPECIES
Rb 85.47 Rb.upf
Na 22.99 Na.upf
W 183.84 W.upf
O 16.00 O.upf
CELL_PARAMETERS angstrom
6.308 0.000 0.000
-3.154 5.463 0.000
0.000 0.000 8.066
ATOMIC_POSITIONS angstrom
Rb 0.000 3.642 5.349
Rb 3.154 1.821 2.717
Rb 0.000 0.000 0.000
Na 0.000 0.000 4.033
W 0.000 3.642 1.805
W 3.154 1.821 6.261
O 0.000 3.642 8.062
O 3.154 1.821 0.004
O -1.474 4.493 2.461
O 4.628 0.970 5.605
O 0.000 1.940 2.461
O 3.154 3.523 5.605
O 1.474 4.493 2.461
O 1.680 0.970 5.605
```